{"formula": "ZnIn2Mo", "functional": "GGA-PBEsol", "state": "relaxed", "final_energy_ev_per_cell": -18.2, "spacegroup": "Cmmm, No. 65", "lattice_angstrom": [[2.8860, -4.1633, 0.0000], [2.8860, 4.1633, 0.0000], [0.0000, 0.0000, 2.9709]], "species": ["Zn", "In", "In", "Mo"], "fractional_positions": [[0.0000, 0.0000, 0.0000], [0.0000, 0.5000, 0.5000], [0.5000, 0.0000, 0.5000], [0.5000, 0.5000, 0.0000]]}



{"formula": "ZnIn2Mo2", "functional": "GGA-PBEsol", "state": "relaxed", "final_energy_ev_per_cell": -27.3, "spacegroup": "I4/mmm, No. 139", "lattice_angstrom": [[-1.9339, 1.9339, 6.5313], [1.9339, -1.9339, 6.5313], [1.9339, 1.9339, -6.5313]], "species": ["Zn", "In", "In", "Mo", "Mo"], "fractional_positions": [[0.0000, 0.0000, 0.0000], [0.2500, 0.7500, 0.5000], [0.7500, 0.2500, 0.5000], [0.4156, 0.4156, 0.0000], [0.5844, 0.5844, 0.0000]]}



{"formula": "ZrInMo3", "functional": "GGA-PBEsol", "state": "relaxed", "final_energy_ev_per_cell": -36.8, "spacegroup": "Pm-3m, No. 221", "lattice_angstrom": [[4.8050, 0.0000, 0.0000], [0.0000, 4.8050, 0.0000], [0.0000, 0.0000, 4.8050]], "species": ["Zr", "In", "Mo", "Mo", "Mo"], "fractional_positions": [[0.0000, 0.0000, 0.0000], [0.5000, 0.5000, 0.5000], [0.0000, 0.5000, 0.5000], [0.5000, 0.0000, 0.5000], [0.5000, 0.5000, 0.0000]]}



no.,ΔE_f (eV/atom)
1,0.267
2,0.765
3,2.125